Crystalline Pm3Si8Ni3 at its relaxed geometry. Source: the Alexandria database, functional PBE-GGA.

**Volume**: 233.7 Å³/cell
**Uncorrected energy**: -5.8210 eV/atom
**E_form (uncorrected)**: -465.3 meV per atom

a = 3.978 Å, b = 7.995 Å, c = 7.995 Å
α = 75.55°, β = 75.60°, γ = 75.60°
Positions (direct):
Pm  0.500  0.500  0.500
Pm  0.803  0.197  0.197
Pm  0.197  0.803  0.803
Si  0.614  0.090  0.683
Si  0.386  0.910  0.317
Si  0.614  0.683  0.090
Si  0.386  0.317  0.910
Si  0.839  0.814  0.507
Si  0.161  0.186  0.493
Si  0.839  0.507  0.814
Si  0.161  0.493  0.186
Ni  0.500  0.000  0.000
Ni  0.000  0.783  0.217
Ni  0.000  0.217  0.783